## PuTlSeO5 (PBE)

Data for a geometry-optimized PuTlSeO5 structure.

Formation energy from raw total energies in eV/atom: -1.583
D(E_F) in states/eV/cell: 6.50
Total moment in Bohr magnetons per cell: 6.1
Symmetry: C2/c

a b c (Å): 6.3663 6.3663 8.0201
angles (deg): 93.01 93.01 111.74
Closest atoms and distances in Å follow each position.
Fractional coordinates of all 16 atoms:
Pu: 0.0000 0.0000 0.5000  2 O 1.84
Pu: 0.0000 0.0000 0.0000  2 O 1.84
Tl: 0.3356 0.6644 0.2500  5 O 2.78-3.08
Tl: 0.6644 0.3356 0.7500  5 O 2.78-3.08
Se: 0.6964 0.3036 0.2500  2 O 1.71
Se: 0.3036 0.6964 0.7500  2 O 1.71
O: 0.0718 0.9282 0.2500  2 Pu 2.14
O: 0.9282 0.0718 0.7500  2 Pu 2.14
O: 0.8839 0.2959 0.1065  1 Se 1.71
O: 0.1161 0.7041 0.8935  1 Se 1.71
O: 0.7041 0.1161 0.3935  1 Se 1.71
O: 0.2959 0.8839 0.6065  1 Se 1.71
O: 0.7950 0.7067 0.5045  1 Pu 1.84
O: 0.2050 0.2933 0.4955  1 Pu 1.84
O: 0.2933 0.2050 0.9955  1 Pu 1.84
O: 0.7067 0.7950 0.0045  1 Pu 1.84



## Ac3CoSeCl (PBE)

Data for a geometry-optimized Ac3CoSeCl structure.

Formation energy from raw total energies in eV/atom: -1.109
D(E_F) in states/eV/cell: 9.19
Total moment in Bohr magnetons per cell: 0.0
Symmetry: P2_1/m

a b c (Å): 4.3446 10.6539 8.2039
angles (deg): 92.70 90.00 90.00
Closest atoms and distances in Å follow each position.
Fractional coordinates of all 12 atoms:
Ac: 0.7500 0.8129 0.9467  2 Co 2.88
Ac: 0.2500 0.1871 0.0533  2 Co 2.88
Ac: 0.2500 0.8042 0.3823  1 Co 2.77
Ac: 0.7500 0.1958 0.6177  1 Co 2.77
Ac: 0.7500 0.5025 0.2072  3 Co 2.96-3.05
Ac: 0.2500 0.4975 0.7928  3 Co 2.96-3.05
Co: 0.2500 0.6741 0.0819  6 Ac 2.77-3.05
Co: 0.7500 0.3259 0.9181  6 Ac 2.77-3.05
Se: 0.2500 0.3305 0.4171  6 Ac 3.12-3.49
Se: 0.7500 0.6695 0.5829  6 Ac 3.12-3.49
Cl: 0.2500 0.9959 0.6908  3 Ac 3.12-3.18
Cl: 0.7500 0.0041 0.3092  3 Ac 3.12-3.18



## Pr4P3Cl (PBE)

Data for a geometry-optimized Pr4P3Cl structure.

Formation energy from raw total energies in eV/atom: -1.608
D(E_F) in states/eV/cell: 2.65
Total moment in Bohr magnetons per cell: 0.0
Symmetry: Cmmm

a b c (Å): 4.1795 7.2745 7.2745
angles (deg): 70.84 90.00 90.00
Closest atoms and distances in Å follow each position.
Fractional coordinates of all 8 atoms:
Pr: 0.0000 0.7683 0.7318  4 P 2.86-2.97, 2 Cl 3.08
Pr: 0.5000 0.7575 0.2574  5 P 2.88-2.97, 1 Cl 3.05
Pr: 0.0000 0.2320 0.2681  4 P 2.86-2.97, 2 Cl 3.08
Pr: 0.4999 0.2427 0.7426  5 P 2.88-2.97, 1 Cl 3.05
P: 0.5000 0.0001 0.5000  6 Pr 2.86-2.88
P: 0.9999 0.0001 0.0000  6 Pr 2.97
P: 0.9999 0.5001 0.5000  6 Pr 2.97
Cl: 0.5000 0.5002 0.9999  6 Pr 3.05-3.08



## Er4BiSb2As (PBE)

Data for a geometry-optimized Er4BiSb2As structure.

Formation energy from raw total energies in eV/atom: -1.098
D(E_F) in states/eV/cell: 1.12
Total moment in Bohr magnetons per cell: 0.0
Symmetry: P2/m

a b c (Å): 4.3013 7.4608 7.4870
angles (deg): 70.68 90.00 90.00
Closest atoms and distances in Å follow each position.
Fractional coordinates of all 8 atoms:
Er: 0.0000 0.7473 0.7395  1 As 2.97, 3 Sb 3.03-3.13, 2 Bi 3.07
Er: 0.0000 0.2527 0.2605  1 As 2.97, 3 Sb 3.03-3.13, 2 Bi 3.07
Er: 0.5000 0.7400 0.2636  2 As 2.98, 3 Sb 3.03-3.12, 1 Bi 3.07
Er: 0.5000 0.2600 0.7364  2 As 2.98, 3 Sb 3.03-3.12, 1 Bi 3.07
Bi: 0.5000 0.5000 0.0000  6 Er 3.07
Sb: 0.0000 0.0000 0.0000  6 Er 3.12-3.13
Sb: 0.5000 0.0000 0.5000  6 Er 3.03
As: 0.0000 0.5000 0.5000  6 Er 2.97-2.98



## VSn2Rh4 (PBE)

Data for a geometry-optimized VSn2Rh4 structure.

D(E_F) in states/eV/cell: 7.42
Total moment in Bohr magnetons per cell: 0.0
Symmetry: I4/mmm
E_form in eV/atom: 0.305

a b c (Å): 4.5387 4.5387 7.4145
angles (deg): 72.18 72.18 90.00
Closest atoms and distances in Å follow each position.
Fractional coordinates of all 7 atoms:
Rh: 0.8304 0.8304 0.3392  1 V 2.27
Rh: 0.1696 0.1696 0.6608  1 V 2.27
Rh: 0.0000 0.5000 0.0000  2 V 2.27
Rh: 0.5000 0.0000 0.0000  2 V 2.27
Sn: 0.6320 0.6320 0.7360  5 Rh 2.65-2.87
Sn: 0.3680 0.3680 0.2640  5 Rh 2.65-2.87
V: 0.0000 0.0000 0.0000  6 Rh 2.27



## LaReTc4 (PBE)

Data for a geometry-optimized LaReTc4 structure.

D(E_F) in states/eV/cell: 7.64
Total moment in Bohr magnetons per cell: 0.0
Symmetry: F-43m
E_form in eV/atom: 0.456

a b c (Å): 5.2952 5.2952 5.2952
angles (deg): 60.00 60.00 60.00
Closest atoms and distances in Å follow each position.
Fractional coordinates of all 6 atoms:
La: 0.7500 0.7500 0.7500  12 Tc 3.10, 4 Re 3.24
Re: 0.0000 0.0000 0.0000  12 Tc 3.10, 4 La 3.24
Tc: 0.8756 0.3748 0.3748  6 Tc 2.64-2.65
Tc: 0.3748 0.3748 0.8756  6 Tc 2.64-2.65
Tc: 0.3748 0.8756 0.3748  6 Tc 2.64-2.65
Tc: 0.3748 0.3748 0.3748  6 Tc 2.64-2.65



## KGa (PBE)

Data for a geometry-optimized KGa structure.

D(E_F) in states/eV/cell: 5.11
Total moment in Bohr magnetons per cell: 0.0
Symmetry: P4/m
E_form in eV/atom: -0.013
Polymorph energy (0 for the lowest one) in meV per atom: 93

a b c (Å): 12.0314 12.0314 4.2242
angles (deg): 90.00 90.00 90.00
Closest atoms and distances in Å follow each position.
Fractional coordinates of all 16 atoms:
K: 0.6908 0.6317 0.5000  4 Ga 3.45-3.66
K: 0.3092 0.3683 0.5000  4 Ga 3.45-3.66
K: 0.3683 0.6908 0.5000  4 Ga 3.45-3.66
K: 0.6317 0.3092 0.5000  4 Ga 3.45-3.66
K: 0.8900 0.2067 0.0000  3 Ga 3.44-3.57
K: 0.1100 0.7933 0.0000  3 Ga 3.44-3.57
K: 0.7933 0.8900 0.0000  3 Ga 3.44-3.57
K: 0.2067 0.1100 0.0000  3 Ga 3.44-3.57
Ga: 0.9100 0.4316 0.5000  5 Ga 2.72-3.02
Ga: 0.0900 0.5684 0.5000  5 Ga 2.72-3.02
Ga: 0.5684 0.9100 0.5000  5 Ga 2.72-3.02
Ga: 0.4316 0.0900 0.5000  5 Ga 2.72-3.02
Ga: 0.9102 0.5736 0.0000  5 Ga 2.72-3.02
Ga: 0.0898 0.4264 0.0000  5 Ga 2.72-3.02
Ga: 0.4264 0.9102 0.0000  5 Ga 2.72-3.02
Ga: 0.5736 0.0898 0.0000  5 Ga 2.72-3.02



## KLiTlSb (PBE)

Data for a geometry-optimized KLiTlSb structure.

Formation energy from raw total energies in eV/atom: -0.386
D(E_F) in states/eV/cell: 0.04
Total moment in Bohr magnetons per cell: 0.0
Symmetry: R3m
Polymorph energy (0 for the lowest one) in meV per atom: 0

a b c (Å): 4.7773 4.7762 7.2717
angles (deg): 109.15 90.00 120.01
Closest atoms and distances in Å follow each position.
Fractional coordinates of all 4 atoms:
K: 0.6283 0.2566 0.5270  3 Sb 3.67, 3 Li 3.76, 3 Tl 3.76
Li: 0.4214 0.8427 0.9063  3 Sb 2.76
Tl: 0.8352 0.6703 0.1475  3 Li 3.20, 3 Sb 3.27
Sb: 0.0814 0.1629 0.8866  3 Li 2.76



## NdDy6Tm2Mg (PBE)

Data for a geometry-optimized NdDy6Tm2Mg structure.

D(E_F) in states/eV/cell: 25.40
Total moment in Bohr magnetons per cell: 0.0
Symmetry: C2/c
E_form in eV/atom: 0.126

a b c (Å): 8.9535 8.8468 8.8468
angles (deg): 117.23 90.14 90.14
Closest atoms and distances in Å follow each position.
Fractional coordinates of all 20 atoms:
Nd: 0.2500 0.9748 0.0252  2 Tm 3.35, 6 Dy 3.44-3.64
Nd: 0.7500 0.0252 0.9748  2 Tm 3.35, 6 Dy 3.44-3.64
Dy: 0.0570 0.1533 0.7881  1 Tm 3.31, 7 Dy 3.42-3.59, 2 Nd 3.59-3.64
Dy: 0.4430 0.2119 0.8467  1 Tm 3.31, 7 Dy 3.42-3.59, 2 Nd 3.59-3.64
Dy: 0.9430 0.8467 0.2119  1 Tm 3.31, 7 Dy 3.42-3.59, 2 Nd 3.59-3.64
Dy: 0.5570 0.7881 0.1533  1 Tm 3.31, 7 Dy 3.42-3.59, 2 Nd 3.59-3.64
Dy: 0.2796 0.0130 0.4290  5 Dy 3.29-3.59, 1 Mg 3.30, 1 Tm 3.34, 1 Nd 3.44
Dy: 0.2204 0.5710 0.9870  5 Dy 3.29-3.59, 1 Mg 3.30, 1 Tm 3.34, 1 Nd 3.44
Dy: 0.7204 0.9870 0.5710  5 Dy 3.29-3.59, 1 Mg 3.30, 1 Tm 3.34, 1 Nd 3.44
Dy: 0.7796 0.4290 0.0130  5 Dy 3.29-3.59, 1 Mg 3.30, 1 Tm 3.34, 1 Nd 3.44
Dy: 0.0928 0.7320 0.5015  3 Tm 3.21-3.36, 4 Dy 3.29-3.55, 2 Mg 3.31-3.35
Dy: 0.4072 0.4985 0.2680  3 Tm 3.21-3.36, 4 Dy 3.29-3.55, 2 Mg 3.31-3.35
Dy: 0.9072 0.2680 0.4985  3 Tm 3.21-3.36, 4 Dy 3.29-3.55, 2 Mg 3.31-3.35
Dy: 0.5928 0.5015 0.7320  3 Tm 3.21-3.36, 4 Dy 3.29-3.55, 2 Mg 3.31-3.35
Tm: 0.4408 0.7914 0.6606  5 Dy 3.21-3.36, 1 Nd 3.35, 2 Mg 3.40-3.47
Tm: 0.0592 0.3394 0.2086  5 Dy 3.21-3.36, 1 Nd 3.35, 2 Mg 3.40-3.47
Tm: 0.5592 0.2086 0.3394  5 Dy 3.21-3.36, 1 Nd 3.35, 2 Mg 3.40-3.47
Tm: 0.9408 0.6606 0.7914  5 Dy 3.21-3.36, 1 Nd 3.35, 2 Mg 3.40-3.47
Mg: 0.2500 0.4273 0.5727  6 Dy 3.30-3.35, 4 Tm 3.40-3.47
Mg: 0.7500 0.5727 0.4273  6 Dy 3.30-3.35, 4 Tm 3.40-3.47



## Hg3As2O8 (PBE)

Data for a geometry-optimized Hg3As2O8 structure.

Formation energy from raw total energies in eV/atom: -0.812
Total moment in Bohr magnetons per cell: 0.0
Symmetry: P2_1/c

a b c (Å): 6.6768 10.3596 12.0506
angles (deg): 90.00 90.00 99.24
Closest atoms and distances in Å follow each position.
Fractional coordinates of all 52 atoms:
As: 0.6965 0.3931 0.4051  4 O 1.70-1.75
As: 0.8035 0.6069 0.9051  4 O 1.70-1.75
As: 0.3035 0.6069 0.5949  4 O 1.70-1.75
As: 0.1965 0.3931 0.0949  4 O 1.70-1.75
As: 0.4047 0.0984 0.8669  4 O 1.70-1.75
As: 0.0953 0.9016 0.3669  4 O 1.70-1.75
As: 0.5953 0.9016 0.1331  4 O 1.70-1.75
As: 0.9047 0.0984 0.6331  4 O 1.70-1.75
Hg: 0.3295 0.9555 0.6189  2 O 2.15-2.17
Hg: 0.1705 0.0445 0.1189  2 O 2.15-2.17
Hg: 0.6705 0.0445 0.3811  2 O 2.15-2.17
Hg: 0.8295 0.9555 0.8811  2 O 2.15-2.17
Hg: 0.1740 0.2984 0.3980  2 O 2.10-2.11
Hg: 0.3260 0.7016 0.8980  2 O 2.10-2.11
Hg: 0.8260 0.7016 0.6020  2 O 2.10-2.11
Hg: 0.6740 0.2984 0.1020  2 O 2.10-2.11
Hg: 0.5877 0.3426 0.6712  2 O 2.16-2.18
Hg: 0.9123 0.6574 0.1712  2 O 2.16-2.18
Hg: 0.4123 0.6574 0.3288  2 O 2.16-2.18
Hg: 0.0877 0.3426 0.8288  2 O 2.16-2.18
O: 0.7586 0.4531 0.5380  1 As 1.74
O: 0.7414 0.5469 0.0380  1 As 1.74
O: 0.2414 0.5469 0.4620  1 As 1.74
O: 0.2586 0.4531 0.9620  1 As 1.74
O: 0.4789 0.2758 0.4171  1 As 1.74
O: 0.0211 0.7242 0.9171  1 As 1.74
O: 0.5211 0.7242 0.5829  1 As 1.74
O: 0.9789 0.2758 0.0829  1 As 1.74
O: 0.8653 0.2923 0.3575  1 As 1.75
O: 0.6347 0.7077 0.8575  1 As 1.75
O: 0.1347 0.7077 0.6425  1 As 1.75
O: 0.3653 0.2923 0.1425  1 As 1.75
O: 0.6804 0.5146 0.3125  1 As 1.70
O: 0.8196 0.4854 0.8125  1 As 1.70
O: 0.3196 0.4854 0.6875  1 As 1.70
O: 0.1804 0.5146 0.1875  1 As 1.70
O: 0.4146 0.9560 0.7907  1 As 1.75
O: 0.0854 0.0440 0.2907  1 As 1.75
O: 0.5854 0.0440 0.2093  1 As 1.75
O: 0.9146 0.9560 0.7093  1 As 1.75
O: 0.3677 0.2215 0.7737  1 As 1.75
O: 0.1323 0.7785 0.2737  1 As 1.75
O: 0.6323 0.7785 0.2263  1 As 1.75
O: 0.8677 0.2215 0.7263  1 As 1.75
O: 0.1797 0.0860 0.9422  1 As 1.74
O: 0.3203 0.9140 0.4422  1 As 1.74
O: 0.8203 0.9140 0.0578  1 As 1.74
O: 0.6797 0.0860 0.5578  1 As 1.74
O: 0.6182 0.1297 0.9453  1 As 1.70
O: 0.8818 0.8703 0.4453  1 As 1.70
O: 0.3818 0.8703 0.0547  1 As 1.70
O: 0.1182 0.1297 0.5547  1 As 1.70



## SbRu4Au (PBE)

Data for a geometry-optimized SbRu4Au structure.

Formation energy from raw total energies in eV/atom: 0.614
D(E_F) in states/eV/cell: 8.36
Total moment in Bohr magnetons per cell: 3.7
Symmetry: F-43m

a b c (Å): 5.2276 5.2276 5.2276
angles (deg): 60.00 60.00 60.00
Closest atoms and distances in Å follow each position.
Fractional coordinates of all 6 atoms:
Sb: 0.7500 0.7500 0.7500  12 Ru 3.07, 4 Au 3.20
Ru: 0.8765 0.3745 0.3745  6 Ru 2.60-2.62
Ru: 0.3745 0.3745 0.8765  6 Ru 2.60-2.62
Ru: 0.3745 0.8765 0.3745  6 Ru 2.60-2.62
Ru: 0.3745 0.3745 0.3745  6 Ru 2.60-2.62
Au: 0.0000 0.0000 0.0000  12 Ru 3.06, 4 Sb 3.20



## Na17MgTl11 (PBE)

Data for a geometry-optimized Na17MgTl11 structure.

D(E_F) in states/eV/cell: 13.92
Total moment in Bohr magnetons per cell: 0.0
Symmetry: Cm
E_form in eV/atom: -0.092

a b c (Å): 10.3974 10.3974 10.3520
angles (deg): 109.35 109.35 109.87
Closest atoms and distances in Å follow each position.
Fractional coordinates of all 29 atoms:
Na: 0.9998 0.9998 0.3336  4 Na 3.38-3.47, 6 Tl 3.56-3.60
Na: 0.6902 0.6902 0.2783  4 Tl 3.38-3.45, 7 Na 3.40-3.68, 1 Mg 3.49
Na: 0.6573 0.6573 0.6571  4 Na 3.37-3.48, 6 Tl 3.59-3.60
Na: 0.4122 0.4122 0.7230  5 Tl 3.30-3.44, 7 Na 3.37-3.68
Na: 0.9936 0.9936 0.9938  4 Na 3.47-3.57, 1 Mg 3.60, 11 Tl 3.72-3.84
Na: 0.3076 0.5879 0.0012  4 Tl 3.26-3.41, 4 Na 3.39-3.64, 1 Mg 3.57
Na: 0.4162 0.7292 0.4160  4 Tl 3.28-3.45, 7 Na 3.38-3.66, 1 Mg 3.51
Na: 0.0048 0.3077 0.5894  5 Tl 3.31-3.50, 7 Na 3.38-3.70
Na: 0.9928 0.3369 0.9953  4 Na 3.34-3.57, 5 Tl 3.50-3.59, 1 Mg 3.54
Na: 0.2756 0.6885 0.6882  5 Tl 3.26-3.47, 3 Na 3.34-3.54
Na: 0.5915 0.0031 0.3092  5 Tl 3.30-3.48, 7 Na 3.38-3.68
Na: 0.0031 0.5915 0.3092  5 Tl 3.30-3.48, 7 Na 3.38-3.68
Na: 0.6885 0.2756 0.6882  5 Tl 3.26-3.47, 3 Na 3.34-3.54
Na: 0.3369 0.9928 0.9953  4 Na 3.34-3.57, 5 Tl 3.50-3.59, 1 Mg 3.54
Na: 0.3077 0.0048 0.5894  5 Tl 3.31-3.50, 7 Na 3.38-3.70
Na: 0.7292 0.4162 0.4160  4 Tl 3.28-3.45, 7 Na 3.38-3.66, 1 Mg 3.51
Na: 0.5879 0.3076 0.0012  4 Tl 3.26-3.41, 4 Na 3.39-3.64, 1 Mg 3.57
Mg: 0.3585 0.3585 0.1838  3 Tl 3.03-3.05
Tl: 0.1980 0.1980 0.8264  1 Mg 3.03, 2 Tl 3.25, 3 Na 3.30-3.39
Tl: 0.6171 0.8075 0.9995  3 Tl 3.22-3.29, 7 Na 3.26-3.60
Tl: 0.1953 0.3853 0.3792  1 Mg 3.05, 2 Tl 3.21-3.23, 3 Na 3.26-3.38
Tl: 0.8141 0.0035 0.6231  3 Tl 3.22-3.25, 7 Na 3.30-3.60
Tl: 0.6171 0.9975 0.8097  3 Tl 3.22-3.25, 7 Na 3.31-3.59
Tl: 0.8159 0.1956 0.1912  3 Tl 3.21-3.29, 7 Na 3.28-3.57
Tl: 0.1956 0.8159 0.1912  3 Tl 3.21-3.29, 7 Na 3.28-3.57
Tl: 0.9975 0.6171 0.8097  3 Tl 3.22-3.25, 7 Na 3.31-3.59
Tl: 0.0035 0.8141 0.6231  3 Tl 3.22-3.25, 7 Na 3.30-3.60
Tl: 0.3853 0.1953 0.3792  1 Mg 3.05, 2 Tl 3.21-3.23, 3 Na 3.26-3.38
Tl: 0.8075 0.6171 0.9995  3 Tl 3.22-3.29, 7 Na 3.26-3.60